# 1
Density functional theory data (PBE) for a relaxed Ho2ErHg crystal.

Cell: 10.596 10.596 10.596 Å, 19.66 19.66 19.66°
Element x y z (fractional)
1 Ho 0.000 0.000 0.000
2 Ho 0.180 0.180 0.180
3 Er 0.423 0.423 0.423
4 Hg 0.590 0.590 0.590

SG   R3m (160)
Energy above the most stable polymorph in this dataset   6.2 kJ/mol of atoms
DFT formation energy   -159 meV/atom
Mass density   9.8 g/cm³

# 2
Density functional theory data (PBE) for a relaxed Ho2ErHg6 crystal.

Cell: 9.224 9.224 5.411 Å, 97.74 97.74 78.23°
Element x y z (fractional)
1 Ho 0.041 0.292 0.083
2 Ho 0.292 0.041 0.583
3 Ho 0.708 0.959 0.417
4 Ho 0.959 0.708 0.917
5 Er 0.375 0.625 0.750
6 Er 0.625 0.375 0.250
7 Hg 0.070 0.819 0.471
8 Hg 0.153 0.404 0.638
9 Hg 0.181 0.930 0.029
10 Hg 0.264 0.514 0.196
11 Hg 0.404 0.153 0.138
12 Hg 0.486 0.736 0.304
13 Hg 0.514 0.264 0.696
14 Hg 0.596 0.847 0.862
15 Hg 0.736 0.486 0.804
16 Hg 0.819 0.070 0.971
17 Hg 0.847 0.596 0.362
18 Hg 0.930 0.181 0.529

SG   C2/c (15)
DFT formation energy   -387 meV/atom
Mass density   12.7 g/cm³

# 3
Density functional theory data (PBE) for a relaxed HoErHg crystal.

Cell: 6.886 6.886 6.886 Å, 149.83 149.83 43.19°
Element x y z (fractional)
1 Ho 0.000 0.000 0.000
2 Er 0.309 0.309 0.000
3 Hg 0.655 0.655 0.000

SG   I4mm (107)
Energy above the most stable polymorph in this dataset   1.1 kJ/mol of atoms
DFT formation energy   -300 meV/atom
Mass density   10.8 g/cm³

# 4
Density functional theory data (PBE) for a relaxed Ho3ErHg6 crystal.

Cell: 9.116 5.129 11.053 Å, 90.00 106.65 90.00°
Element x y z (fractional)
1 Ho 0.018 0.250 0.388
2 Ho 0.147 0.750 0.203
3 Ho 0.270 0.250 0.992
4 Ho 0.730 0.750 0.008
5 Ho 0.853 0.250 0.797
6 Ho 0.982 0.750 0.612
7 Er 0.439 0.250 0.608
8 Er 0.561 0.750 0.392
9 Hg 0.036 0.750 0.910
10 Hg 0.152 0.250 0.700
11 Hg 0.257 0.750 0.491
12 Hg 0.339 0.250 0.311
13 Hg 0.359 0.750 0.803
14 Hg 0.437 0.750 0.105
15 Hg 0.563 0.250 0.895
16 Hg 0.641 0.250 0.197
17 Hg 0.661 0.750 0.689
18 Hg 0.743 0.250 0.509
19 Hg 0.848 0.750 0.300
20 Hg 0.964 0.250 0.090

SG   P2_1/m (11)
DFT formation energy   -421 meV/atom
Mass density   12.5 g/cm³

# 5
Density functional theory data (PBE) for a relaxed Ho2ErHg crystal.

Cell: 3.572 3.572 8.878 Å, 90.00 90.00 90.00°
Element x y z (fractional)
1 Ho 0.000 0.000 0.225
2 Ho 0.000 0.000 0.775
3 Er 0.500 0.500 0.500
4 Hg 0.500 0.500 0.000

SG   P4/mmm (123)
Energy above the most stable polymorph in this dataset   0.0 kJ/mol of atoms
DFT formation energy   -224 meV/atom
Mass density   10.2 g/cm³

# 6
Density functional theory data (PBE) for a relaxed Ho6Er2Hg crystal.

Cell: 9.741 9.741 3.520 Å, 90.00 90.00 123.59°
Element x y z (fractional)
1 Ho 0.016 0.339 0.000
2 Ho 0.297 0.297 0.500
3 Ho 0.339 0.016 0.000
4 Ho 0.661 0.984 0.000
5 Ho 0.703 0.703 0.500
6 Ho 0.984 0.661 0.000
7 Er 0.317 0.683 0.500
8 Er 0.683 0.317 0.500
9 Hg 0.000 0.000 0.000

SG   Cmmm (65)
DFT formation energy   30 meV/atom
Mass density   9.1 g/cm³

# 7
Density functional theory data (PBE) for a relaxed Ho3Er2Hg2 crystal.

Cell: 16.021 16.021 3.531 Å, 90.00 90.00 167.30°
Element x y z (fractional)
1 Ho 0.000 0.000 0.000
2 Ho 0.127 0.873 0.000
3 Ho 0.873 0.127 0.000
4 Er 0.296 0.704 0.500
5 Er 0.704 0.296 0.500
6 Hg 0.438 0.562 0.500
7 Hg 0.562 0.438 0.500

SG   Cmmm (65)
Energy above the most stable polymorph in this dataset   5.6 kJ/mol of atoms
DFT formation energy   -179 meV/atom
Mass density   10.3 g/cm³

# 8
Density functional theory data (PBE) for a relaxed Ho2Er3Hg2 crystal.

Cell: 15.951 15.951 3.537 Å, 90.00 90.00 167.26°
Element x y z (fractional)
1 Ho 0.203 0.797 0.000
2 Ho 0.797 0.203 0.000
3 Er 0.374 0.626 0.500
4 Er 0.500 0.500 0.500
5 Er 0.626 0.374 0.500
6 Hg 0.062 0.938 0.000
7 Hg 0.938 0.062 0.000

SG   Cmmm (65)
Energy above the most stable polymorph in this dataset   5.1 kJ/mol of atoms
DFT formation energy   -184 meV/atom
Mass density   10.3 g/cm³